[1]
A geometry-optimized As4PRh10 structure. Source: the Alexandria database, functional PBE.

Properties
The calculation puts the total energy at -7.04 eV/atom. The formation enthalpy at 0 K is -538.0 meV per atom. The value obtained for the total moment is 0.0 μB/f.u. The value obtained for the volume is 15.48 A^3/atom. For the density of states at the Fermi level, the calculation gives 3.74 states/eV/f.u.

abc: 4.0301 4.0301 49.5238
angles: 90.00 90.00 120.00
Space group R-3m (No. 166, hexagonal axes)
Asymmetric unit:
As1 0.0000 0.0000 0.1013 x6
As2 0.0000 0.0000 0.2995 x6
P1 0.0000 0.0000 0.5000 x3
Rh1 0.0000 0.0000 0.0508 x6
Rh2 0.0000 0.0000 0.1515 x6
Rh3 0.0000 0.0000 0.2488 x6
Rh4 0.0000 0.0000 0.3501 x6
Rh5 0.0000 0.0000 0.4524 x6

***

[2]
A geometry-optimized AsP3Rh structure. Source: the Alexandria database, functional PBE.

Properties
The calculation puts the total energy at -4.91 eV/atom. The calculation puts the relative energy among the computed polymorphs at 0 meV per atom. The formation enthalpy at 0 K is 736.2 meV per atom. The value obtained for the total moment is 0.0 μB/f.u. The value obtained for the volume is 19.38 A^3/atom. For the density of states at the Fermi level, the calculation gives 5.11 states/eV/f.u.

abc: 4.5934 4.5934 4.5934
angles: 90.00 90.00 90.00
Space group Pm-3m (No. 221)
Asymmetric unit:
As1 0.0000 0.0000 0.0000 x1
P1 0.0000 0.5000 0.5000 x3
Rh1 0.5000 0.5000 0.5000 x1

***

[3]
A geometry-optimized As4PRh structure. Source: the Alexandria database, functional PBE.

Properties
The calculation puts the total energy at -4.41 eV/atom. The formation enthalpy at 0 K is 811.9 meV per atom. The value obtained for the total moment is 0.0 μB/f.u. The value obtained for the volume is 18.62 A^3/atom. For the density of states at the Fermi level, the calculation gives 4.25 states/eV/f.u.

abc: 7.6453 7.6453 7.6453
angles: 90.00 90.00 90.00
Space group F-43m (No. 216)
Asymmetric unit:
As1 0.1238 0.1238 0.1238 x16
P1 0.2500 0.2500 0.7500 x4
Rh1 0.0000 0.0000 0.5000 x4

***

[4]
A geometry-optimized AsPRh3 structure. Source: the Alexandria database, functional PBE.

Properties
The calculation puts the total energy at -5.70 eV/atom. The calculation puts the relative energy among the computed polymorphs at 600 meV per atom. The formation enthalpy at 0 K is 718.8 meV per atom. The value obtained for the total moment is 0.8 μB/f.u. The value obtained for the volume is 18.70 A^3/atom. For the density of states at the Fermi level, the calculation gives 5.42 states/eV/f.u.

abc: 4.5384 4.5384 4.5384
angles: 90.00 90.00 90.00
Space group Pm-3m (No. 221)
Asymmetric unit:
As1 0.0000 0.0000 0.0000 x1
P1 0.5000 0.5000 0.5000 x1
Rh1 0.0000 0.0000 0.5000 x3

***

[5]
A geometry-optimized AsP2Rh2 structure. Source: the Alexandria database, functional PBE.

Properties
The calculation puts the total energy at -6.29 eV/atom. The formation enthalpy at 0 K is -259.7 meV per atom. The value obtained for the total moment is 0.0 μB/f.u. The value obtained for the volume is 15.40 A^3/atom. For the density of states at the Fermi level, the calculation gives 2.34 states/eV/f.u.

abc: 4.0708 4.0708 9.2902
angles: 90.00 90.00 90.00
Space group I4/mmm (No. 139)
Asymmetric unit:
As1 0.0000 0.0000 0.0000 x2
P1 0.0000 0.0000 0.3824 x4
Rh1 0.0000 0.5000 0.2500 x4

***

[6]
A geometry-optimized AsPRh3 structure. Source: the Alexandria database, functional PBE.

Properties
The calculation puts the total energy at -6.30 eV/atom. The calculation puts the relative energy among the computed polymorphs at 0 meV per atom. The formation enthalpy at 0 K is 118.6 meV per atom. The value obtained for the total moment is 0.0 μB/f.u. The value obtained for the volume is 17.04 A^3/atom. For the density of states at the Fermi level, the calculation gives 6.85 states/eV/f.u.

abc: 4.4000 4.4000 4.4000
angles: 90.00 90.00 90.00
Space group Pm-3m (No. 221)
Asymmetric unit:
As1 0.0000 0.0000 0.0000 x1
P1 0.5000 0.5000 0.5000 x1
Rh1 0.0000 0.5000 0.5000 x3

***

[7]
A geometry-optimized AsPRhS2 structure. Source: the Alexandria database, functional PBE.

Properties
The formation energy (no corrections) comes out at 3.2 eV per formula unit. The calculation puts the total energy at -4.50 eV/atom. The calculation puts the relative energy among the computed polymorphs at 0 meV per atom. The value obtained for the total moment is 0.0 μB/f.u. The value obtained for the volume is 19.84 A^3/atom. For the density of states at the Fermi level, the calculation gives 4.11 states/eV/f.u.

abc: 4.7515 4.7515 4.3943
angles: 90.00 90.00 90.00
Space group P4/mmm (No. 123)
Asymmetric unit:
As1 0.0000 0.0000 0.0000 x1
P1 0.5000 0.5000 0.0000 x1
Rh1 0.5000 0.5000 0.5000 x1
S1 0.0000 0.5000 0.5000 x2

***

[8]
A geometry-optimized ScAsPRh2 structure. Source: the Alexandria database, functional PBE.

Properties
The calculation puts the total energy at -6.04 eV/atom. The formation enthalpy at 0 K is 179.3 meV per atom. The value obtained for the total moment is 0.0 μB/f.u. The value obtained for the volume is 19.82 A^3/atom. For the density of states at the Fermi level, the calculation gives 8.67 states/eV/f.u.

abc: 4.5009 4.5009 4.8923
angles: 90.00 90.00 90.00
Space group P4/mmm (No. 123)
Asymmetric unit:
Sc1 0.0000 0.0000 0.0000 x1
As1 0.5000 0.5000 0.5000 x1
P1 0.5000 0.5000 0.0000 x1
Rh1 0.0000 0.5000 0.5000 x2

***

[9]
A geometry-optimized As2PRhSe structure. Source: the Alexandria database, functional PBE.

Properties
The formation energy (no corrections) comes out at 4.4 eV per formula unit. The calculation puts the total energy at -4.24 eV/atom. The calculation puts the relative energy among the computed polymorphs at 134 meV per atom. The value obtained for the total moment is 0.0 μB/f.u. The value obtained for the volume is 20.09 A^3/atom. For the density of states at the Fermi level, the calculation gives 3.25 states/eV/f.u.

abc: 4.6036 4.6036 4.7386
angles: 90.00 90.00 90.00
Space group P4/mmm (No. 123)
Asymmetric unit:
As1 0.0000 0.5000 0.0000 x2
P1 0.0000 0.0000 0.0000 x1
Rh1 0.5000 0.5000 0.5000 x1
Se1 0.0000 0.0000 0.5000 x1

***

[10]
A geometry-optimized As2PRhSe structure. Source: the Alexandria database, functional PBE.

Properties
The formation energy (no corrections) comes out at 3.7 eV per formula unit. The calculation puts the total energy at -4.37 eV/atom. The calculation puts the relative energy among the computed polymorphs at 0 meV per atom. The value obtained for the total moment is 0.0 μB/f.u. The value obtained for the volume is 22.30 A^3/atom. For the density of states at the Fermi level, the calculation gives 4.79 states/eV/f.u.

abc: 4.6778 4.6778 5.0957
angles: 90.00 90.00 90.00
Space group P4/mmm (No. 123)
Asymmetric unit:
As1 0.0000 0.5000 0.0000 x2
P1 0.0000 0.0000 0.5000 x1
Rh1 0.5000 0.5000 0.0000 x1
Se1 0.5000 0.5000 0.5000 x1

***

[11]
A geometry-optimized SmAsP2Rh5 structure. Source: the Alexandria database, functional PBE.

Properties
The calculation puts the total energy at -7.05 eV/atom. The formation enthalpy at 0 K is -727.4 meV per atom. The value obtained for the total moment is 0.0 μB/f.u. The value obtained for the volume is 17.67 A^3/atom. For the density of states at the Fermi level, the calculation gives 3.21 states/eV/f.u.

abc: 4.0022 4.0022 9.9297
angles: 90.00 90.00 90.00
Space group P4/mmm (No. 123)
Asymmetric unit:
Sm1 0.0000 0.0000 0.0000 x1
As1 0.0000 0.0000 0.5000 x1
P1 0.5000 0.5000 0.2283 x2
Rh1 0.0000 0.5000 0.3445 x4
Rh2 0.5000 0.5000 0.0000 x1

***

[12]
A geometry-optimized Sm3AsP2Rh9 structure. Source: the Alexandria database, functional PBE.

Properties
The calculation puts the total energy at -7.07 eV/atom. The formation enthalpy at 0 K is -681.8 meV per atom. The value obtained for the total moment is 0.0 μB/f.u. The value obtained for the volume is 18.71 A^3/atom. For the density of states at the Fermi level, the calculation gives 8.31 states/eV/f.u.

abc: 6.1336 6.1336 8.6160
angles: 90.00 90.00 120.00
Space group P-3m1 (No. 164)
Asymmetric unit:
Sm1 0.0000 0.0000 0.0000 x1
Sm2 0.3333 0.6667 0.6804 x2
As1 0.0000 0.0000 0.5000 x1
P1 0.3333 0.6667 0.1677 x2
Rh1 0.0000 0.5000 0.0000 x3
Rh2 0.1516 0.3031 0.2876 x6

***

[13]
A geometry-optimized Sm2AsP3Rh4 structure. Source: the Alexandria database, functional PBE.

Properties
The calculation puts the total energy at -7.01 eV/atom. The formation enthalpy at 0 K is -1034.8 meV per atom. The value obtained for the total moment is 0.0 μB/f.u. The value obtained for the volume is 16.92 A^3/atom. For the density of states at the Fermi level, the calculation gives 5.55 states/eV/f.u.

abc: 4.1616 4.1616 9.7669
angles: 90.00 90.00 90.00
Space group P-4m2 (No. 115)
Asymmetric unit:
Sm1 0.0000 0.5000 0.2485 x2
As1 0.5000 0.5000 0.0000 x1
P1 0.0000 0.0000 0.0000 x1
P2 0.0000 0.5000 0.6359 x2
Rh1 0.0000 0.0000 0.5000 x1
Rh2 0.0000 0.5000 0.8742 x2
Rh3 0.5000 0.5000 0.5000 x1

***

[14]
A geometry-optimized Sm2As3PRh4 structure. Source: the Alexandria database, functional PBE.

Properties
The calculation puts the total energy at -6.78 eV/atom. The formation enthalpy at 0 K is -958.6 meV per atom. The value obtained for the total moment is 0.0 μB/f.u. The value obtained for the volume is 17.85 A^3/atom. For the density of states at the Fermi level, the calculation gives 5.12 states/eV/f.u.

abc: 4.2587 4.2587 9.8413
angles: 90.00 90.00 90.00
Space group P-4m2 (No. 115)
Asymmetric unit:
Sm1 0.0000 0.5000 0.2413 x2
As1 0.0000 0.0000 0.0000 x1
As2 0.0000 0.5000 0.6402 x2
P1 0.5000 0.5000 0.0000 x1
Rh1 0.0000 0.0000 0.5000 x1
Rh2 0.0000 0.5000 0.8881 x2
Rh3 0.5000 0.5000 0.5000 x1

***

[15]
A geometry-optimized Sm3As2PRh9 structure. Source: the Alexandria database, functional PBE.

Properties
The calculation puts the total energy at -6.88 eV/atom. The formation enthalpy at 0 K is -548.6 meV per atom. The value obtained for the total moment is 0.0 μB/f.u. The value obtained for the volume is 19.14 A^3/atom. For the density of states at the Fermi level, the calculation gives 7.43 states/eV/f.u.

abc: 6.6350 6.6350 7.5317
angles: 90.00 90.00 120.00
Space group P-3m1 (No. 164)
Asymmetric unit:
Sm1 0.0000 0.0000 0.0000 x1
Sm2 0.3333 0.6667 0.6821 x2
As1 0.3333 0.6667 0.2017 x2
P1 0.0000 0.0000 0.5000 x1
Rh1 0.0000 0.5000 0.0000 x3
Rh2 0.1441 0.2882 0.3017 x6

***

[16]
A geometry-optimized SnAsPRh2 structure. Source: the Alexandria database, functional PBE.

Properties
The calculation puts the total energy at -5.26 eV/atom. The formation enthalpy at 0 K is 493.2 meV per atom. The value obtained for the total moment is 0.0 μB/f.u. The value obtained for the volume is 20.46 A^3/atom. For the density of states at the Fermi level, the calculation gives 0.64 states/eV/f.u.

abc: 4.6369 4.6369 4.7585
angles: 90.00 90.00 90.00
Space group P4/mmm (No. 123)
Asymmetric unit:
Sn1 0.0000 0.0000 0.0000 x1
As1 0.5000 0.5000 0.5000 x1
P1 0.5000 0.5000 0.0000 x1
Rh1 0.0000 0.5000 0.5000 x2

***

[17]
A geometry-optimized TbAsP2Rh5 structure. Source: the Alexandria database, functional PBE.

Properties
The calculation puts the total energy at -7.04 eV/atom. The formation enthalpy at 0 K is -720.3 meV per atom. The value obtained for the total moment is 0.0 μB/f.u. The value obtained for the volume is 17.56 A^3/atom. For the density of states at the Fermi level, the calculation gives 2.94 states/eV/f.u.

abc: 3.9854 3.9854 9.9494
angles: 90.00 90.00 90.00
Space group P4/mmm (No. 123)
Asymmetric unit:
Tb1 0.0000 0.0000 0.0000 x1
As1 0.0000 0.0000 0.5000 x1
P1 0.5000 0.5000 0.2275 x2
Rh1 0.0000 0.5000 0.3444 x4
Rh2 0.5000 0.5000 0.0000 x1

***

[18]
A geometry-optimized Th2AsP3Rh4 structure. Source: the Alexandria database, functional PBE.

Properties
The calculation puts the total energy at -7.59 eV/atom. The formation enthalpy at 0 K is -1075.6 meV per atom. The value obtained for the total moment is 0.1 μB/f.u. The value obtained for the volume is 17.31 A^3/atom. For the density of states at the Fermi level, the calculation gives 5.75 states/eV/f.u.

abc: 4.2397 4.2397 9.6277
angles: 90.00 90.00 90.00
Space group P-4m2 (No. 115)
Asymmetric unit:
Th1 0.0000 0.5000 0.2500 x2
As1 0.0000 0.0000 0.5000 x1
P1 0.0000 0.5000 0.8650 x2
P2 0.5000 0.5000 0.5000 x1
Rh1 0.0000 0.0000 0.0000 x1
Rh2 0.0000 0.5000 0.6212 x2
Rh3 0.5000 0.5000 0.0000 x1

***

[19]
A geometry-optimized Th2AsPRh6 structure. Source: the Alexandria database, functional PBE.

Properties
The calculation puts the total energy at -7.74 eV/atom. The formation enthalpy at 0 K is -836.2 meV per atom. The value obtained for the total moment is 0.0 μB/f.u. The value obtained for the volume is 18.62 A^3/atom. For the density of states at the Fermi level, the calculation gives 2.97 states/eV/f.u.

abc: 5.6001 8.5474 7.7793
angles: 90.00 90.00 90.00
Space group Pmmn (No. 59, origin choice 2)
Asymmetric unit:
Th1 0.2500 0.0040 0.2330 x4
As1 0.2500 0.7500 0.7680 x2
P1 0.2500 0.2500 0.7425 x2
Rh1 0.0008 0.2500 0.9770 x4
Rh2 0.0016 0.7500 0.4977 x4
Rh3 0.2500 0.0007 0.6137 x4

***

[20]
A geometry-optimized Th3AsP2Rh9 structure. Source: the Alexandria database, functional PBE.

Properties
The calculation puts the total energy at -7.71 eV/atom. The formation enthalpy at 0 K is -784.5 meV per atom. The value obtained for the total moment is 0.0 μB/f.u. The value obtained for the volume is 18.77 A^3/atom. For the density of states at the Fermi level, the calculation gives 5.44 states/eV/f.u.

abc: 5.8035 5.8035 9.6534
angles: 90.00 90.00 120.00
Space group P-3m1 (No. 164)
Asymmetric unit:
Th1 0.0000 0.0000 0.0000 x1
Th2 0.3333 0.6667 0.6188 x2
As1 0.0000 0.0000 0.5000 x1
P1 0.3333 0.6667 0.1581 x2
Rh1 0.0000 0.5000 0.0000 x3
Rh2 0.1628 0.3255 0.3072 x6